Below is crystalline Nd7Tl2Co2 at its relaxed geometry, with properties calculated at the PBE level.

Cell and atoms, written as POSCAR:
```
Nd7Tl2Co2
1.0
3.718 0.000 0.000
1.859 9.798 -0.190
1.859 4.478 8.717
Co Nd Tl
2 7 2
Cartesian
5.578 11.419 5.697 Co
1.859 3.846 1.174 Co
3.718 5.727 2.230 Nd
3.718 11.175 7.813 Nd
5.578 7.966 7.805 Nd
3.718 4.653 8.424 Nd
3.718 9.597 4.542 Nd
1.859 3.627 5.214 Nd
3.718 2.099 2.392 Nd
3.718 6.403 5.494 Tl
1.859 8.571 1.865 Tl
```

Values from the calculation:
Total DFT energy (no corrections) (eV for the cell shown): -53.94
Volume (Å³ per atom): 29.158
Space-group type: Imm2 (44)
Calculated density (g/cm³): 7.95
Formation energy (eV/f.u.): -1.62



Below is crystalline InAu6 at its relaxed geometry, with properties calculated at the PBE level.

Cell and atoms, written as POSCAR:
```
InAu6
1.0
-0.509 -1.654 -2.449
5.912 -3.411 2.299
-6.212 -1.311 3.400
In Au
1 6
Cartesian
-0.254 -0.827 -1.224 In
0.186 -4.620 1.371 Au
-2.350 -4.190 2.581 Au
3.174 -3.638 2.535 Au
-3.983 -2.738 0.716 Au
-0.994 -1.756 1.879 Au
1.541 -2.186 0.670 Au
```

Values from the calculation:
Total DFT energy (no corrections) (eV for the cell shown): -22.42
Volume (Å³ per atom): 18.870
Space-group type: R-3 (148)
Calculated density (g/cm³): 16.30
E above lowest polymorph (eV per atom): 0.000
Formation energy (eV/f.u.): -0.02



- Among the records above, which one has the lowest formation energy?
  Nd7Tl2Co2



- What is the calculated density in the second record?
  16.30 g/cm³



- The highest formation energy belongs to which entry?
  InAu6



- The highest calculated density belongs to which entry?
  InAu6